Entry 1:
Zr2OsBr | PBE | relaxed

Cell: 3.196 3.274 8.113 Å, 90.00 90.00 90.00°
Space group Pmmm (No. 47)
Inequivalent atoms, fractional coordinates:
Zr (0.000, 0.000, 0.205)
Os (0.500, 0.500, 0.000)
Br (0.500, 0.000, 0.500)

Values from the calculation:
Raw total energy ... -31.97 eV/cell
Excess energy over the best structure of this formula in the dataset ... 0 meV per atom
Total magnetization ... 0.00 μB per formula unit

=====

Entry 2:
MnNi2Te | PBE | relaxed

Cell: 3.407 3.407 5.207 Å, 90.00 90.00 90.00°
Space group P4mm (No. 99)
Inequivalent atoms, fractional coordinates:
Mn (0.000, 0.000, 0.000)
Ni (0.000, 0.000, 0.467)
Ni (0.500, 0.500, 0.194)
Te (0.500, 0.500, 0.683)

Values from the calculation:
Raw total energy ... -23.25 eV/cell
Total magnetization ... 4.39 μB per formula unit

=====

Entry 3:
GeBiTe | PBE | relaxed

Cell: 4.2821 4.2821 5.4733 Å, 90.00 90.00 120.00°
Space group P3m1 (No. 156)
Inequivalent atoms, fractional coordinates:
Ge (0.0000, 0.0000, 0.0000)
Bi (0.3333, 0.6667, 0.3001)
Te (0.6667, 0.3333, 0.6880)

Values from the calculation:
Raw total energy ... -11.34 eV/cell
Excess energy over the best structure of this formula in the dataset ... 48 meV per atom
Total magnetization ... 0.00 μB per formula unit

=====

Entry 4:
La2GaCo3 | PBE | relaxed

Cell: 4.0998 4.0998 16.7638 Å, 90.00 90.00 120.00°
Space group P6_3/mmc (No. 194)
Inequivalent atoms, fractional coordinates:
La (0.0000, 0.0000, 0.1206)
Ga (0.3333, 0.6667, 0.2500)
Co (0.3333, 0.6667, 0.0013)
Co (0.3333, 0.6667, 0.7500)

Values from the calculation:
Raw total energy ... -70.69 eV/cell
Excess energy over the best structure of this formula in the dataset ... 3 meV per atom
Formation energy from the elements ... -191 meV per atom
Total magnetization ... 2.25 μB per formula unit

=====

Entry 5:
Er3Ge3Au | PBE | relaxed

Cell: 10.687 4.308 13.879 Å, 90.00 109.63 90.00°
Space group C2/m (No. 12)
Inequivalent atoms, fractional coordinates:
Er (0.025, 0.000, 0.376)
Er (0.104, 0.000, 0.925)
Er (0.237, 0.000, 0.222)
Ge (0.015, 0.500, 0.224)
Ge (0.121, 0.500, 0.075)
Ge (0.127, 0.500, 0.546)
Au (0.236, 0.500, 0.387)

Values from the calculation:
Raw total energy ... -145.98 eV/cell
Formation energy from the elements ... -811 meV per atom
Total magnetization ... 0.00 μB per formula unit

=====

Entry 6:
PmPrNd2 | PBE | relaxed

Cell: 5.746 3.600 13.651 Å, 90.00 90.00 90.00°
Space group Amm2 (No. 38)
Inequivalent atoms, fractional coordinates:
Pm (0.000, 0.000, 0.000)
Pr (0.500, 0.000, 0.359)
Nd (0.000, 0.000, 0.741)
Nd (0.500, 0.000, 0.616)

Values from the calculation:
Raw total energy ... -37.78 eV/cell
Excess energy over the best structure of this formula in the dataset ... 32 meV per atom
Formation energy from the elements ... 44 meV per atom
Total magnetization ... 0.00 μB per formula unit

=====

Entry 7:
Tb2NbPt9 | PBE | relaxed

Cell: 4.091 4.091 12.250 Å, 90.00 90.00 90.00°
Space group P4/mmm (No. 123)
Inequivalent atoms, fractional coordinates:
Tb (0.000, 0.000, 0.167)
Nb (0.000, 0.000, 0.500)
Pt (0.000, 0.500, 0.000)
Pt (0.000, 0.500, 0.345)
Pt (0.500, 0.500, 0.173)
Pt (0.500, 0.500, 0.500)

Values from the calculation:
Raw total energy ... -84.66 eV/cell
Formation energy from the elements ... -914 meV per atom
Total magnetization ... 0.00 μB per formula unit

=====

Entry 8:
BaReP2 | PBE | relaxed

Cell: 6.835 6.835 6.835 Å, 90.00 90.00 90.00°
Space group F-43m (No. 216)
Inequivalent atoms, fractional coordinates:
Ba (0.000, 0.000, 0.000)
Re (0.250, 0.250, 0.750)
P (0.000, 0.000, 0.500)
P (0.250, 0.250, 0.250)

Values from the calculation:
Raw total energy ... -82.17 eV/cell
Formation energy from the elements ... 1162 meV per atom
Total magnetization ... 0.76 μB per formula unit

=====

Entry 9:
Tb4TmMgS8 | PBE | relaxed

Cell: 7.9873 7.9873 19.5193 Å, 90.00 90.00 120.00°
Space group R3m (No. 160, hexagonal axes)
Inequivalent atoms, fractional coordinates:
Tb (0.0000, 0.0000, 0.0000)
Tb (0.1702, 0.3404, 0.2078)
Tm (0.0000, 0.0000, 0.3782)
Mg (0.0000, 0.0000, 0.7501)
S (0.0000, 0.0000, 0.1335)
S (0.0000, 0.0000, 0.6219)
S (0.0117, 0.5058, 0.1252)
S (0.1796, 0.3591, 0.9574)

Values from the calculation:
Raw total energy ... -253.31 eV/cell
Total magnetization ... 0.00 μB per formula unit

=====

Entry 10:
YCdF4 | PBE | relaxed

Cell: 7.607 7.607 7.815 Å, 90.00 90.00 90.00°
Space group I4_1md (No. 109)
Inequivalent atoms, fractional coordinates:
Y (0.000, 0.000, 0.000)
Cd (0.000, 0.000, 0.472)
F (0.000, 0.291, 0.048)
F (0.000, 0.312, 0.461)

Values from the calculation:
Raw total energy ... -132.89 eV/cell
Total magnetization ... 0.00 μB per formula unit

=====

Entry 11:
BeVTe3 | PBE | relaxed

Cell: 5.199 5.199 5.199 Å, 90.00 90.00 90.00°
Space group Pm-3m (No. 221)
Inequivalent atoms, fractional coordinates:
Be (0.000, 0.000, 0.000)
V (0.500, 0.500, 0.500)
Te (0.000, 0.500, 0.500)

Values from the calculation:
Raw total energy ... -18.76 eV/cell
Excess energy over the best structure of this formula in the dataset ... 99 meV per atom
Total magnetization ... 0.45 μB per formula unit

=====

Entry 12:
Ac4Zn3Au5 | PBE | relaxed

Cell: 15.436 4.823 11.505 Å, 90.00 128.75 90.00°
Space group C2/m (No. 12)
Inequivalent atoms, fractional coordinates:
Ac (0.016, 0.000, 0.286)
Ac (0.242, 0.500, 0.255)
Zn (0.000, 0.000, 0.000)
Zn (0.220, 0.500, 0.940)
Au (0.000, 0.500, 0.000)
Au (0.089, 0.500, 0.647)
Au (0.200, 0.500, 0.507)

Values from the calculation:
Raw total energy ... -86.11 eV/cell
Formation energy from the elements ... -534 meV per atom
Total magnetization ... 0.00 μB per formula unit

=====

Repeat the seventh record exactly.
Tb2NbPt9 | PBE | relaxed

Cell: 4.091 4.091 12.250 Å, 90.00 90.00 90.00°
Space group P4/mmm (No. 123)
Inequivalent atoms, fractional coordinates:
Tb (0.000, 0.000, 0.167)
Nb (0.000, 0.000, 0.500)
Pt (0.000, 0.500, 0.000)
Pt (0.000, 0.500, 0.345)
Pt (0.500, 0.500, 0.173)
Pt (0.500, 0.500, 0.500)

Values from the calculation:
Raw total energy ... -84.66 eV/cell
Formation energy from the elements ... -914 meV per atom
Total magnetization ... 0.00 μB per formula unit

=====

Number 10 is which compound?
YCdF4

=====

Look up the raw total energy of the ninth one.
-253.31 eV/cell